Record 1
Compound: YBeCoPb
Source: OQMD
Functional: PBE
Structure: relaxed

Cell: 4.600 4.600 4.600 Å, 60.00 60.00 60.00°
Atoms (fractional coordinates):
Pb  0.500  0.500  0.500
Co  0.250  0.250  0.250
Y  0.000  0.000  0.000
Be  0.750  0.750  0.750

ΔE to the lowest computed polymorph   0.0 meV/atom
Space group   F-43m (216)
Spin magnetization   0.000 μB/f.u.

Record 2
Compound: ThFePd
Source: OQMD
Functional: PBE
Structure: relaxed

Cell: 4.395 4.395 4.395 Å, 60.00 60.00 60.00°
Atoms (fractional coordinates):
Fe  0.000  0.000  0.000
Th  0.750  0.750  0.750
Pd  0.250  0.250  0.250

Space group   F-43m (216)
Formation enthalpy at 0 K   -0.031 eV per atom
Spin magnetization   1.560 μB/f.u.

Record 3
Compound: RbTaAuSeS2
Source: OQMD
Functional: PBE
Structure: relaxed

Cell: 8.228 8.228 10.019 Å, 90.00 90.00 154.59°
Atoms (fractional coordinates):
Se  0.574  0.426  0.750
Se  0.426  0.574  0.250
Rb  0.258  0.742  0.750
Rb  0.742  0.258  0.250
S  0.891  0.109  0.970
S  0.891  0.109  0.530
S  0.109  0.891  0.470
S  0.109  0.891  0.030
Au  0.053  0.947  0.250
Au  0.947  0.053  0.750
Ta  0.500  0.500  0.000
Ta  0.500  0.500  0.500

Space group   Cmcm (63)
Spin magnetization   0.033 μB/f.u.
Raw total energy   -0.38786 Ry/atom

Record 4
Compound: NdTh
Source: OQMD
Functional: PBE
Structure: relaxed

Cell: 4.631 4.631 4.631 Å, 60.00 60.00 60.00°
Atoms (fractional coordinates):
Th  0.500  0.500  0.500
Nd  0.000  0.000  0.000

ΔE to the lowest computed polymorph   773.1 meV/atom
Space group   Fm-3m (225)
Formation enthalpy at 0 K   0.849 eV per atom
Spin magnetization   0.008 μB/f.u.

Record 5
Compound: Pr3Mg3AgPt2
Source: OQMD
Functional: PBE
Structure: relaxed

Cell: 7.726 7.726 4.149 Å, 90.00 90.00 120.00°
Atoms (fractional coordinates):
Pr  0.421  0.000  0.500
Pr  0.579  0.579  0.500
Pr  0.000  0.421  0.500
Mg  0.247  0.247  0.000
Mg  0.000  0.753  0.000
Mg  0.753  0.000  0.000
Pt  0.333  0.667  0.000
Pt  0.667  0.333  0.000
Ag  0.000  0.000  0.500

Space group   P-62m (189)
Spin magnetization   0.006 μB/f.u.
Raw total energy   -0.32717 Ry/atom

Record 6
Compound: InFe3Se5
Source: OQMD
Functional: PBE
Structure: relaxed

Cell: 5.503 5.503 7.018 Å, 90.00 90.00 120.00°
Atoms (fractional coordinates):
Se  0.667  0.333  0.246
Se  0.000  0.000  0.500
Se  0.333  0.667  0.754
Se  0.333  0.667  0.246
Se  0.667  0.333  0.754
In  0.000  0.000  0.000
Fe  0.500  0.000  0.500
Fe  0.000  0.500  0.500
Fe  0.500  0.500  0.500

Space group   P6/mmm (191)
Spin magnetization   6.433 μB/f.u.
Raw total energy   -0.37804 Ry/atom

Record 7
Compound: CuAg4
Source: OQMD
Functional: PBE
Structure: relaxed

Cell: 11.775 11.775 4.960 Å, 94.95 94.95 14.18°
Atoms (fractional coordinates):
Cu  0.349  0.349  0.950
Cu  0.651  0.651  0.050
Ag  0.151  0.151  0.552
Ag  0.849  0.849  0.448
Ag  0.247  0.247  0.242
Ag  0.946  0.946  0.144
Ag  0.449  0.449  0.653
Ag  0.753  0.753  0.758
Ag  0.054  0.054  0.856
Ag  0.551  0.551  0.347

ΔE to the lowest computed polymorph   34.6 meV/atom
Space group   C2/m (12)
Formation enthalpy at 0 K   0.059 eV per atom

Record 8
Compound: HoZr
Source: OQMD
Functional: PBE
Structure: relaxed

Cell: 5.865 9.040 5.346 Å, 90.00 90.00 71.07°
Atoms (fractional coordinates):
Ho  0.066  0.182  0.500
Ho  0.419  0.192  0.000
Ho  0.448  0.418  0.500
Ho  0.810  0.408  0.000
Ho  0.584  0.800  0.000
Zr  0.692  0.986  0.500
Zr  0.877  0.614  0.500
Zr  0.998  0.984  0.000
Zr  0.182  0.616  0.000
Zr  0.258  0.800  0.500

Space group   Amm2 (38)
Formation enthalpy at 0 K   0.048 eV per atom
Spin magnetization   0.002 μB/f.u.